[1]
The following is a GGA-PBE calculation of InSi after structural relaxation, from the Alexandria database.

Cell: 4.907 4.907 4.907 Å, 60.00 60.00 60.00°
Fractional coordinates of all 4 atoms:
In 0.000 0.000 0.000
In 0.250 0.250 0.250
Si 0.500 0.500 0.500
Si 0.750 0.750 0.750

Output
Its density of states at the Fermi level is 3.070 states/eV per cell. The space-group type is Fd-3m. As for the uncorrected formation energy: 0.54 eV/atom. Its spin magnetization is 0.0 μB per cell. The total energy comes out at -7.1 eV/f.u.


[2]
The following is a GGA-PBE calculation of In3Si after structural relaxation, from the Alexandria database.

Cell: 6.485 6.485 5.305 Å, 90.00 90.00 120.00°
Fractional coordinates of all 8 atoms:
In 0.829 0.659 0.250
In 0.341 0.171 0.250
In 0.829 0.171 0.250
In 0.171 0.341 0.750
In 0.659 0.829 0.750
In 0.171 0.829 0.750
Si 0.333 0.667 0.250
Si 0.667 0.333 0.750

Output
Its density of states at the Fermi level is 2.835 states/eV per cell. The space-group type is P6_3/mmc. As for the uncorrected formation energy: 0.28 eV/atom. Its spin magnetization is 0.0 μB per cell. The total energy comes out at -12.5 eV/f.u.